No. 1
Below is a geometry-optimized TaCdBr2 structure, with properties calculated at the PBE-GGA level.

The distance to the lowest polymorph of the same formula comes out at 0.363 eV/atom. For the raw formation energy, the calculation gives 3.53 kcal/mol of atoms. The total magnetization is 0.0 μB per formula unit.

The space group is Pm (No. 6) and the conventional cell measures 3.223, 4.948 and 6.865 Å, with angles of 90.00, 102.86 and 90.00 degrees. The inequivalent atoms are Ta at (0.000, 0.000, 0.000), Cd at (0.390, 0.500, 0.767), Br at (0.069, 0.500, 0.146) and Br at (0.650, 0.000, 0.316).

***

No. 2
Below is a geometry-optimized Ta2CdBr structure, with properties calculated at the PBE-GGA level.

The distance to the lowest polymorph of the same formula comes out at 0.784 eV/atom. For the raw formation energy, the calculation gives 21.43 kcal/mol of atoms. The total magnetization is 0.0 μB per formula unit.

The space group is I4/mmm (No. 139) and the conventional cell measures 4.063, 4.063 and 9.927 Å, with angles of 90.00, 90.00 and 90.00 degrees. The inequivalent atoms are Ta at (0.000, 0.500, 0.250), Cd at (0.000, 0.000, 0.000) and Br at (0.000, 0.000, 0.500).

***

Question: Which formula does entry 2 have?
Answer: Ta2CdBr